Density functional theory data (PBE with a Hubbard U) for a geometry-optimized PuCuWO6 structure.

a = 5.465 Å, b = 5.465 Å, c = 8.984 Å
α = 90.00°, β = 90.00°, γ = 120.00°
Each line ends with the local moment (μB).
Positions (direct):
O: 0.366 0.338 0.368  -0.08
O: 0.028 0.366 0.632  -0.08
O: 0.028 0.662 0.868  -0.08
O: 0.338 0.366 0.868  -0.08
Cu: 0.000 0.000 0.500  -0.31
Cu: 0.000 0.000 0.000  -0.31
O: 0.634 0.972 0.868  -0.08
O: 0.972 0.634 0.368  -0.08
W: 0.333 0.667 0.750  0.13
O: 0.338 0.972 0.632  -0.08
O: 0.634 0.662 0.632  -0.08
O: 0.662 0.634 0.132  -0.08
O: 0.366 0.028 0.132  -0.08
W: 0.667 0.333 0.250  0.13
O: 0.972 0.338 0.132  -0.08
Pu: 0.667 0.333 0.750  3.63
Pu: 0.333 0.667 0.250  3.63
O: 0.662 0.028 0.368  -0.08

Values from the calculation:
DOS(E_F) = 16.38 states/eV/cell
Calculated density = 8.39 g cm⁻³
DFT total energy = -144.58 eV for the cell shown

---

Density functional theory data (PBE with a Hubbard U) for a geometry-optimized YCoF5 structure.

a = 5.768 Å, b = 5.768 Å, c = 5.768 Å
α = 137.23°, β = 106.07°, γ = 89.38°
Each line ends with the local moment (μB).
Positions (direct):
F: 0.184 0.500 0.684  0.03
Co: 0.000 0.000 0.000  2.80
F: 0.770 0.770 0.000  0.03
F: 0.816 0.500 0.316  0.03
F: 0.500 0.000 0.500  0.00
F: 0.230 0.230 0.000  0.03
Y: 0.500 0.500 0.000  0.01

Values from the calculation:
DOS(E_F) = 0.00 states/eV/cell
ΔE to the lowest computed polymorph = 153 meV per atom
Calculated density = 3.37 g cm⁻³
DFT total energy = -42.55 eV for the cell shown